(1)
# La2NdNb, optimized geometry, DFT PBE
data_La2NdNb
_chemical_formula_sum 'La6 Nd3 Nb3'
_symmetry_space_group_name_H-M 'R -3 m'
_symmetry_Int_Tables_number 166
_symmetry_space_group_name_Hall '-R 3 2"'
_cell_length_a 3.3512
_cell_length_b 3.3512
_cell_length_c 36.8086
_cell_angle_alpha 90.00
_cell_angle_beta 90.00
_cell_angle_gamma 120.00
loop_
_atom_site_label
_atom_site_type_symbol
_atom_site_fract_x
_atom_site_fract_y
_atom_site_fract_z
La1 La 0.0000 0.0000 0.0784
Nd1 Nd 0.0000 0.0000 0.5000
Nb1 Nb 0.0000 0.0000 0.0000
# Fermi-level density of states, states/eV/atom: 1.596
# E, eV per atom: -5.594

***

(2)
# SmTmPt, optimized geometry, DFT PBE
data_SmTmPt
_chemical_formula_sum 'Sm1 Tm1 Pt1'
_symmetry_space_group_name_H-M 'P 3 m 1'
_symmetry_Int_Tables_number 156
_cell_length_a 4.6442
_cell_length_b 4.6442
_cell_length_c 4.1843
_cell_angle_alpha 90.00
_cell_angle_beta 90.00
_cell_angle_gamma 120.00
loop_
_symmetry_equiv_pos_as_xyz
'x,y,z'
'-y,x-y,z'
'-x+y,-x,z'
'-y,-x,z'
'-x+y,y,z'
'x,x-y,z'
loop_
_atom_site_label
_atom_site_type_symbol
_atom_site_fract_x
_atom_site_fract_y
_atom_site_fract_z
Sm1 Sm 0.0000 0.0000 0.0000
Tm1 Tm 0.6667 0.3333 0.5159
Pt1 Pt 0.3333 0.6667 0.3254
# Fermi-level density of states, states/eV/atom: 0.893
# E, eV per atom: -5.757

***

- Among the records above, which one has the highest E?
  La2NdNb

***

- What is the formula in the second record?
  SmTmPt